(1)
Below is an optimized crystal structure of YCuSCl2, with properties calculated at the PBE-GGA level.

It has space group P4/mmm (No. 123), with a = 4.552 Å, b = 4.552 Å, c = 4.960 Å, α = 90.00°, β = 90.00° and γ = 90.00°. Symmetry generates all atoms from Y at (0.000, 0.000, 0.000), Cu at (0.500, 0.500, 0.500), S at (0.500, 0.500, 0.000) and Cl at (0.000, 0.500, 0.500).

The calculation puts the calculated total energy at -22.414 eV per cell. For the energy relative to the lowest polymorph listed for this composition, the calculation gives 0.073 eV per atom. For the uncorrected formation energy, the calculation gives -0.81 eV/atom. The total moment comes out at 0.00 μB/cell.

***

(2)
Below is an optimized crystal structure of ZrCuS2Cl, with properties calculated at the PBE-GGA level.

It has space group P4/mmm (No. 123), with a = 4.598 Å, b = 4.598 Å, c = 4.433 Å, α = 90.00°, β = 90.00° and γ = 90.00°. Symmetry generates all atoms from Zr at (0.000, 0.000, 0.000), Cu at (0.500, 0.500, 0.500), S at (0.000, 0.500, 0.500) and Cl at (0.500, 0.500, 0.000).

The calculation puts the calculated total energy at -23.281 eV per cell. For the energy relative to the lowest polymorph listed for this composition, the calculation gives 0.347 eV per atom. For the uncorrected formation energy, the calculation gives -0.11 eV/atom. The total moment comes out at 0.91 μB/cell.

***

(3)
Below is an optimized crystal structure of ZrCuS2Cl, with properties calculated at the PBE-GGA level.

It has space group P4/mmm (No. 123), with a = 4.996 Å, b = 4.996 Å, c = 5.001 Å, α = 90.00°, β = 90.00° and γ = 90.00°. Symmetry generates all atoms from Zr at (0.000, 0.000, 0.000), Cu at (0.500, 0.500, 0.500), S at (0.000, 0.500, 0.000) and Cl at (0.000, 0.000, 0.500).

The calculation puts the calculated total energy at -25.018 eV per cell. For the energy relative to the lowest polymorph listed for this composition, the calculation gives 0.000 eV per atom. For the uncorrected formation energy, the calculation gives -0.45 eV/atom. The total moment comes out at 0.00 μB/cell.

***

Repeat the third record exactly.
Below is an optimized crystal structure of ZrCuS2Cl, with properties calculated at the PBE-GGA level.

It has space group P4/mmm (No. 123), with a = 4.996 Å, b = 4.996 Å, c = 5.001 Å, α = 90.00°, β = 90.00° and γ = 90.00°. Symmetry generates all atoms from Zr at (0.000, 0.000, 0.000), Cu at (0.500, 0.500, 0.500), S at (0.000, 0.500, 0.000) and Cl at (0.000, 0.000, 0.500).

The calculation puts the calculated total energy at -25.018 eV per cell. For the energy relative to the lowest polymorph listed for this composition, the calculation gives 0.000 eV per atom. For the uncorrected formation energy, the calculation gives -0.45 eV/atom. The total moment comes out at 0.00 μB/cell.

***

> The highest total moment belongs to which entry?

number 2